w:
Material: Dy4HoSc3
Method: DFT, PBE-GGA
State: relaxed

Structure (CIF):
```
data_Dy4HoSc3
_chemical_formula_sum 'Dy8 Ho2 Sc6'
_space_group_name_H-M_alt 'P m n 21'
_space_group_IT_number 31
_cell_length_a 10.893
_cell_length_b 7.017
_cell_length_c 6.065
_cell_angle_alpha 90.00
_cell_angle_beta 90.00
_cell_angle_gamma 90.00
loop_
_space_group_symop_operation_xyz
'x,y,z'
'-x+1/2,-y,z+1/2'
'-x,y,z'
'x+1/2,-y,z+1/2'
loop_
_atom_site_label
_atom_site_type_symbol
_atom_site_fract_x
_atom_site_fract_y
_atom_site_fract_z
_atom_site_occupancy
Dy1 Dy 0.000 0.131 0.000 1
Dy2 Dy 0.000 0.868 0.508 1
Dy3 Dy 0.246 0.132 0.345 1
Ho1 Ho 0.000 0.618 0.013 1
Sc1 Sc 0.000 0.381 0.512 1
Sc2 Sc 0.249 0.619 0.341 1
```

## Properties
density = 6.80 g/cm3

x:
Material: Dy4HoSc3
Method: DFT, PBE-GGA
State: relaxed

Structure (CIF):
```
data_Dy4HoSc3
_chemical_formula_sum 'Dy8 Ho2 Sc6'
_space_group_name_H-M_alt 'C 1 2/m 1'
_space_group_IT_number 12
_cell_length_a 11.816
_cell_length_b 6.892
_cell_length_c 5.958
_cell_angle_alpha 90.00
_cell_angle_beta 109.54
_cell_angle_gamma 90.00
loop_
_space_group_symop_operation_xyz
'x,y,z'
'-x,-y,-z'
'-x,y,-z'
'x,-y,z'
'x+1/2,y+1/2,z'
'-x+1/2,-y+1/2,-z'
'-x+1/2,y+1/2,-z'
'x+1/2,-y+1/2,z'
loop_
_atom_site_label
_atom_site_type_symbol
_atom_site_fract_x
_atom_site_fract_y
_atom_site_fract_z
_atom_site_occupancy
Dy1 Dy 0.248 0.000 0.495 1
Dy2 Dy 0.250 0.250 0.000 1
Ho1 Ho 0.000 0.500 0.000 1
Sc1 Sc 0.000 0.000 0.000 1
Sc2 Sc 0.000 0.248 0.500 1
```

## Properties
density = 6.90 g/cm3

Most stable structure - w; separation to the second - 25 meV per atom.

w:
Material: Dy6Ho4Sc
Method: DFT, PBE-GGA
State: relaxed

Structure (CIF):
```
data_Dy6Ho4Sc
_chemical_formula_sum 'Dy12 Ho8 Sc2'
_space_group_name_H-M_alt 'I -4 2 m'
_space_group_IT_number 121
_space_group_name_Hall 'I -4 2'
_cell_length_a 6.470
_cell_length_b 6.470
_cell_length_c 16.932
_cell_angle_alpha 90.00
_cell_angle_beta 90.00
_cell_angle_gamma 90.00
loop_
_atom_site_label
_atom_site_type_symbol
_atom_site_fract_x
_atom_site_fract_y
_atom_site_fract_z
_atom_site_occupancy
Dy1 Dy 0.000 0.500 0.000 1
Dy2 Dy 0.186 0.186 0.171 1
Ho1 Ho 0.179 0.179 0.368 1
Sc1 Sc 0.000 0.000 0.000 1
```

## Properties
density = 7.87 g/cm3

x:
Material: Dy6Ho4Sc
Method: DFT, PBE-GGA
State: relaxed

Structure (CIF):
```
data_Dy6Ho4Sc
_chemical_formula_sum 'Dy24 Ho16 Sc4'
_space_group_name_H-M_alt 'C m c m'
_space_group_IT_number 63
_space_group_name_Hall '-C 2c 2'
_cell_length_a 5.609
_cell_length_b 9.528
_cell_length_c 25.414
_cell_angle_alpha 90.00
_cell_angle_beta 90.00
_cell_angle_gamma 90.00
loop_
_atom_site_label
_atom_site_type_symbol
_atom_site_fract_x
_atom_site_fract_y
_atom_site_fract_z
_atom_site_occupancy
Dy1 Dy 0.000 0.000 0.000 1
Dy2 Dy 0.000 0.018 0.250 1
Dy3 Dy 0.000 0.313 0.607 1
Dy4 Dy 0.000 0.353 0.183 1
Ho1 Ho 0.000 0.024 0.122 1
Ho2 Ho 0.000 0.342 0.044 1
Sc1 Sc 0.000 0.317 0.750 1
```

## Properties
density = 8.22 g/cm3

Most stable structure - x; separation to the second - 161 meV per atom.

w:
Material: Dy5Ho2Sc2
Method: DFT, PBE-GGA
State: relaxed

Structure (CIF):
```
data_Dy5Ho2Sc2
_chemical_formula_sum 'Dy10 Ho4 Sc4'
_space_group_name_H-M_alt 'C 1 2/m 1'
_space_group_IT_number 12
_cell_length_a 17.543
_cell_length_b 3.430
_cell_length_c 9.355
_cell_angle_alpha 90.00
_cell_angle_beta 104.57
_cell_angle_gamma 90.00
loop_
_space_group_symop_operation_xyz
'x,y,z'
'-x,-y,-z'
'-x,y,-z'
'x,-y,z'
'x+1/2,y+1/2,z'
'-x+1/2,-y+1/2,-z'
'-x+1/2,y+1/2,-z'
'x+1/2,-y+1/2,z'
loop_
_atom_site_label
_atom_site_type_symbol
_atom_site_fract_x
_atom_site_fract_y
_atom_site_fract_z
_atom_site_occupancy
Dy1 Dy 0.000 0.000 0.000 1
Dy2 Dy 0.159 0.500 0.216 1
Dy3 Dy 0.168 0.000 0.899 1
Ho1 Ho 0.146 0.000 0.530 1
Sc1 Sc 0.012 0.500 0.677 1
```

## Properties
density = 7.51 g/cm3

x:
Material: Dy5Ho2Sc2
Method: DFT, PBE-GGA
State: relaxed

Structure (CIF):
```
data_Dy5Ho2Sc2
_chemical_formula_sum 'Dy20 Ho8 Sc8'
_space_group_name_H-M_alt 'I m a 2'
_space_group_IT_number 46
_cell_length_a 20.309
_cell_length_b 9.796
_cell_length_c 5.472
_cell_angle_alpha 90.00
_cell_angle_beta 90.00
_cell_angle_gamma 90.00
loop_
_space_group_symop_operation_xyz
'x,y,z'
'-x,-y,z'
'-x+1/2,y,z'
'x+1/2,-y,z'
'x+1/2,y+1/2,z+1/2'
'-x+1/2,-y+1/2,z+1/2'
'-x,y+1/2,z+1/2'
'x,-y+1/2,z+1/2'
loop_
_atom_site_label
_atom_site_type_symbol
_atom_site_fract_x
_atom_site_fract_y
_atom_site_fract_z
_atom_site_occupancy
Dy1 Dy 0.110 0.139 0.000 1
Dy2 Dy 0.162 0.630 0.002 1
Dy3 Dy 0.250 0.552 0.502 1
Ho1 Ho 0.000 0.000 0.501 1
Ho2 Ho 0.250 0.162 0.502 1
Sc1 Sc 0.048 0.661 0.502 1
```

## Properties
density = 7.52 g/cm3

Most stable structure - w; separation to the second - 16 meV per atom.